Computed, not measured: an optimized crystal structure of SrCoSeO at the PBE+U level of DFT.

It has space group Cmc2_1 (No. 36), with a = 3.366 Å, b = 7.166 Å, c = 12.000 Å, α = 90.00°, β = 90.00° and γ = 90.00°. The inequivalent atoms are Sr at (0.000, 0.091, 0.000), Co at (0.000, 0.287, 0.790), Se at (0.000, 0.396, 0.195) and O at (0.000, 0.209, 0.410).

The electronic total energy is -4.925 eV per atom.